Below is Cu3Ag5 after structural relaxation, with properties calculated at the GGA-PBE level.

The structure in POSCAR format:
```
Cu3Ag5
1.0
-2.5608 4.4861 2.3039
2.3707 -1.4154 4.9363
3.1382 2.2361 -0.8660
Cu Ag
3 5
Cartesian
1.1603 0.0331 4.2902
-1.3504 3.0376 2.9500
1.5691 1.1180 -0.4330
-0.0452 0.7304 1.7221
1.4740 2.6534 3.1871
-0.1449 2.3403 5.5181
0.2887 3.3611 0.7189
2.7544 0.4103 2.0352
```

Computed properties:
E: -24.6 eV/f.u.
Energy of formation from the pure elements: 0.09 eV/atom
Energy above the lowest structure with this stoichiometry: 41 kJ/mol of formula units